No. 1
This record from Alexandria describes NaMg2Hg2 after structural relaxation. The functional is GGA-PBE.

abc: 3.4573 3.7770 9.5760
angles: 78.63 90.00 90.00
Last column: nearest neighbours and their distance in Å.
Sites, in units of the cell vectors:
Na1 0.0000 0.0000 0.0000  8 Hg 3.27, 2 Na 3.46, 2 Mg 3.48
Mg1 0.0000 0.1855 0.6289  4 Hg 2.94, 2 Mg 3.07
Mg2 0.0000 0.8145 0.3711  4 Hg 2.94, 2 Mg 3.07
Hg1 0.5000 0.3914 0.2173  4 Mg 2.94, 4 Na 3.27
Hg2 0.5000 0.6086 0.7827  4 Mg 2.94, 4 Na 3.27

E above lowest polymorph ... 0.075 eV per atom
Energy of formation from the pure elements ... -0.13 eV/atom
Crystal system ... orthorhombic

---

No. 2
This record from Alexandria describes HoTlO2 after structural relaxation. The functional is GGA-PBE.

abc: 6.8161 6.8161 6.8161
angles: 29.64 29.64 29.64
Last column: nearest neighbours and their distance in Å.
Sites, in units of the cell vectors:
Tl1 0.0000 0.0000 0.0000  6 O 2.94
Ho1 0.5000 0.5000 0.5000  6 O 2.30
O1 0.2236 0.2236 0.2236  3 Ho 2.30
O2 0.7764 0.7764 0.7764  3 Ho 2.30

E above lowest polymorph ... 0.000 eV per atom
Crystal system ... trigonal
Energy relative to the elements, uncorrected ... -230 kJ/mol of atoms

---

No. 3
This record from Alexandria describes MgTlRe2 after structural relaxation. The functional is GGA-PBE.

abc: 4.5334 3.9012 3.9012
angles: 90.00 90.00 90.00
Last column: nearest neighbours and their distance in Å.
Sites, in units of the cell vectors:
Mg1 0.5000 0.0000 0.5000  4 Tl 2.76, 8 Re 2.99
Re1 0.0000 0.0000 0.0000  4 Re 2.76, 4 Mg 2.99, 4 Tl 2.99
Re2 0.0000 0.5000 0.5000  4 Re 2.76, 4 Tl 2.99, 4 Mg 2.99
Tl1 0.5000 0.5000 0.0000  4 Mg 2.76, 8 Re 2.99

E above lowest polymorph ... 0.517 eV per atom
Energy of formation from the pure elements ... 0.81 eV/atom
Crystal system ... tetragonal

---

No. 4
This record from Alexandria describes PmNd4Ho2Sc after structural relaxation. The functional is GGA-PBE.

abc: 5.1032 11.2560 5.0797
angles: 63.16 90.00 90.00
Last column: nearest neighbours and their distance in Å.
Sites, in units of the cell vectors:
Pm1 0.5000 0.5000 0.0000  8 Nd 3.55-3.56, 4 Sc 3.60
Nd1 0.0000 0.7474 0.7514  2 Sc 3.55-3.56, 2 Pm 3.56, 4 Ho 3.59-3.60, 4 Nd 3.60
Nd2 0.0000 0.2526 0.2486  2 Sc 3.55-3.56, 2 Pm 3.56, 4 Ho 3.59-3.60, 4 Nd 3.60
Nd3 0.5000 0.7478 0.2518  2 Pm 3.55-3.56, 2 Sc 3.56, 4 Ho 3.59-3.60, 4 Nd 3.60
Nd4 0.5000 0.2522 0.7482  2 Pm 3.55-3.56, 2 Sc 3.56, 4 Ho 3.59-3.60, 4 Nd 3.60
Ho1 0.0000 0.0000 0.0000  8 Nd 3.59-3.60, 4 Ho 3.60
Ho2 0.5000 0.0000 0.5000  8 Nd 3.59-3.60, 4 Ho 3.60
Sc1 0.0000 0.5000 0.5000  8 Nd 3.55-3.56, 4 Pm 3.60

Energy of formation from the pure elements ... 0.02 eV/atom
Crystal system ... monoclinic

---

No. 5
This record from Alexandria describes TiS2N after structural relaxation. The functional is GGA-PBE.

abc: 5.0200 5.0200 6.4001
angles: 66.91 66.91 90.00
Last column: nearest neighbours and their distance in Å.
Sites, in units of the cell vectors:
S1 0.5824 0.1250 0.2500  2 N 2.11, 2 Ti 2.35
S2 0.1676 0.6250 0.2500  2 N 2.11, 2 Ti 2.35
S3 0.3750 0.4176 0.7500  2 N 2.11, 2 Ti 2.35
S4 0.8750 0.8324 0.7500  2 N 2.11, 2 Ti 2.35
N1 0.5000 0.5000 0.0000  4 S 2.11
N2 0.2500 0.7500 0.5000  4 S 2.11
Ti1 0.0000 0.0000 0.0000  4 S 2.35
Ti2 0.7500 0.2500 0.5000  4 S 2.35

Crystal system ... tetragonal
Energy relative to the elements, uncorrected ... 46 kJ/mol of atoms

---

No. 6
This record from Alexandria describes Ti8Ir2O after structural relaxation. The functional is GGA-PBE.

abc: 4.4975 5.5152 7.3928
angles: 104.18 107.71 90.00
Last column: nearest neighbours and their distance in Å.
Sites, in units of the cell vectors:
Ti1 0.4064 0.5627 0.8129  1 O 2.43, 2 Ti 2.70
Ti2 0.6320 0.9587 0.2640  1 O 1.93
Ti3 0.7932 0.7295 0.5863  3 Ir 2.50-2.72
Ti4 0.9954 0.2492 0.9909  1 Ir 2.59, 2 O 2.64, 4 Ti 2.70-2.78
Ti5 0.2068 0.2705 0.4137  3 Ir 2.50-2.72
Ti6 0.3680 0.0413 0.7360  1 O 1.93
Ti7 0.5936 0.4373 0.1871  1 O 2.43, 2 Ti 2.70
Ti8 0.0046 0.7508 0.0091  1 Ir 2.59, 2 O 2.64, 4 Ti 2.70-2.78
Ir1 0.8174 0.2960 0.6349  5 Ti 2.50-2.79
Ir2 0.1826 0.7040 0.3651  5 Ti 2.50-2.79
O1 0.5000 0.0000 0.0000  2 Ti 1.93

Crystal system ... monoclinic
Energy relative to the elements, uncorrected ... -62 kJ/mol of atoms

---

No. 7
This record from Alexandria describes NaReSiO6 after structural relaxation. The functional is GGA-PBE.

abc: 4.9491 4.9491 5.2422
angles: 90.00 90.00 60.00
Last column: nearest neighbours and their distance in Å.
Sites, in units of the cell vectors:
Na1 0.0000 0.0000 0.0000  6 O 2.48
Re1 0.6666 0.6667 0.5000  6 O 1.90
Si1 0.3333 0.3333 0.5000  6 O 1.81
O1 0.0143 0.3762 0.3039  1 Si 1.81, 1 Re 1.90
O2 0.3762 0.0143 0.6960  1 Si 1.81, 1 Re 1.90
O3 0.6095 0.3762 0.6960  1 Si 1.81, 1 Re 1.90
O4 0.0143 0.6095 0.6960  1 Si 1.81, 1 Re 1.90
O5 0.3762 0.6095 0.3039  1 Si 1.81, 1 Re 1.90
O6 0.6095 0.0143 0.3039  1 Si 1.81, 1 Re 1.90

Crystal system ... trigonal
Energy relative to the elements, uncorrected ... -184 kJ/mol of atoms

---

No. 8
This record from Alexandria describes LaCrAg2I after structural relaxation. The functional is GGA-PBE.

abc: 5.3363 5.9686 5.3363
angles: 90.00 90.00 90.00
Last column: nearest neighbours and their distance in Å.
Sites, in units of the cell vectors:
I1 0.0000 0.0000 0.0000  4 Ag 2.67, 2 La 2.98
Cr1 0.5000 0.5000 0.5000  4 La 3.77, 8 Ag 4.00
Ag1 0.0000 0.0000 0.5000  2 I 2.67
Ag2 0.5000 0.0000 0.0000  2 I 2.67
La1 0.0000 0.5000 0.0000  2 I 2.98

Crystal system ... tetragonal
Energy relative to the elements, uncorrected ... 82 kJ/mol of atoms